1.
Material: TlCoCu2
Method: DFT, GGA-PBEsol
State: optimized geometry

abc: 5.2140 5.2140 2.7888
angles: 104.50 104.50 120.58
Closest atoms and distances in Å follow each position.
Element x y z (fractional)
Tl (0.0000, 0.0000, 0.0000)  4 Co 2.58-2.68, 4 Cu 2.63, 2 Tl 2.79
Co (0.5000, 0.5000, 0.0000)  4 Tl 2.58-2.68, 4 Cu 2.63, 2 Co 2.79
Cu (0.0000, 0.5000, 0.5000)  6 Cu 2.58-2.79, 2 Tl 2.63, 2 Co 2.63
Cu (0.5000, 0.0000, 0.5000)  6 Cu 2.58-2.79, 2 Tl 2.63, 2 Co 2.63

## Properties
excess energy over the best structure of this formula in the dataset: 59.1 kJ/mol of formula units
final energy: -4.2989 eV per atom
energy of formation: 0.46 eV per atom

2.
Material: TaGaRu2Rh
Method: DFT, GGA-PBEsol
State: optimized geometry

abc: 4.3837 4.3837 4.3174
angles: 90.00 90.00 90.00
Closest atoms and distances in Å follow each position.
Element x y z (fractional)
Ta (0.0000, 0.0000, 0.0000)  8 Ru 3.08, 4 Rh 3.10
Ga (0.5000, 0.5000, 0.5000)  2 Rh 2.16, 4 Ru 2.19
Ru (0.0000, 0.5000, 0.5000)  2 Ga 2.19
Ru (0.5000, 0.0000, 0.5000)  2 Ga 2.19
Rh (0.5000, 0.5000, 0.0000)  2 Ga 2.16

## Properties
final energy: -7.9635 eV per atom
energy of formation: 0.91 eV per atom

3.
Material: PPdPt2
Method: DFT, GGA-PBEsol
State: optimized geometry

abc: 5.4980 5.4980 5.4980
angles: 102.31 102.31 125.00
Closest atoms and distances in Å follow each position.
Element x y z (fractional)
P (0.0000, 0.0000, 0.0000)  4 Pt 2.29, 2 Pd 2.54
P (0.7500, 0.2500, 0.5000)  4 Pt 2.29, 2 Pd 2.54
Pd (0.2500, 0.7500, 0.5000)  2 P 2.54, 4 Pt 2.78
Pd (0.5000, 0.5000, 0.0000)  2 P 2.54, 4 Pt 2.78
Pt (0.0722, 0.1250, 0.4472)  2 P 2.29
Pt (0.3750, 0.9278, 0.0528)  2 P 2.29
Pt (0.6778, 0.6250, 0.5528)  2 P 2.29
Pt (0.8750, 0.3222, 0.9472)  2 P 2.29

## Properties
final energy: -6.7315 eV per atom
energy of formation: -0.31 eV per atom

4.
Material: MnRuI2
Method: DFT, GGA-PBEsol
State: optimized geometry

abc: 4.7879 4.7879 4.7879
angles: 60.00 60.00 60.00
Closest atoms and distances in Å follow each position.
Element x y z (fractional)
Mn (0.0000, 0.0000, 0.0000)  8 I 2.93
Ru (0.5000, 0.5000, 0.5000)  8 I 2.93
I (0.2500, 0.2500, 0.2500)  4 Ru 2.93, 4 Mn 2.93
I (0.7500, 0.7500, 0.7500)  4 Ru 2.93, 4 Mn 2.93

## Properties
final energy: -5.0486 eV per atom
E_form (uncorrected): 0.818 eV/atom

5.
Material: LiRh2Br
Method: DFT, GGA-PBEsol
State: optimized geometry

abc: 5.2377 5.2377 5.2377
angles: 139.37 139.37 58.81
Closest atoms and distances in Å follow each position.
Element x y z (fractional)
Li (0.0000, 0.0000, 0.0000)  4 Br 2.57
Rh (0.2500, 0.7500, 0.5000)  4 Rh 2.57
Rh (0.7500, 0.2500, 0.5000)  4 Rh 2.57
Br (0.5000, 0.5000, 0.0000)  4 Li 2.57

## Properties
excess energy over the best structure of this formula in the dataset: 62.9 kJ/mol of formula units
final energy: -4.7904 eV per atom
E_form (uncorrected): 0.238 eV/atom

6.
Material: LaZrS2
Method: DFT, GGA-PBEsol
State: optimized geometry

abc: 8.8581 8.8581 8.8581
angles: 23.64 23.64 23.64
Closest atoms and distances in Å follow each position.
Element x y z (fractional)
La (0.0000, 0.0000, 0.0000)  2 S 2.80
Zr (0.5000, 0.5000, 0.5000)  6 S 2.58
S (0.1083, 0.1083, 0.1083)  3 Zr 2.58, 1 La 2.80
S (0.8917, 0.8917, 0.8917)  3 Zr 2.58, 1 La 2.80

## Properties
final energy: -7.1377 eV per atom
E_form (uncorrected): -1.337 eV/atom

7.
Material: ErRe2SiC
Method: DFT, GGA-PBEsol
State: optimized geometry

abc: 5.7515 5.7515 7.2038
angles: 90.00 90.00 140.43
Closest atoms and distances in Å follow each position.
Element x y z (fractional)
Er (0.0423, 0.9577, 0.7500)  4 C 2.69, 1 Si 3.01
Er (0.9577, 0.0423, 0.2500)  4 C 2.69, 1 Si 3.01
Re (0.3264, 0.6736, 0.5619)  1 C 1.93
Re (0.3264, 0.6736, 0.9381)  1 C 1.93
Re (0.6736, 0.3264, 0.0619)  1 C 1.93
Re (0.6736, 0.3264, 0.4381)  1 C 1.93
Si (0.2361, 0.7639, 0.2500)  6 Re 2.45-2.47
Si (0.7639, 0.2361, 0.7500)  6 Re 2.45-2.47
C (0.5000, 0.5000, 0.0000)  2 Re 1.93
C (0.5000, 0.5000, 0.5000)  2 Re 1.93

## Properties
final energy: -9.8737 eV per atom
E_form (uncorrected): -0.477 eV/atom

8.
Material: As2PtSeF
Method: DFT, GGA-PBEsol
State: optimized geometry

abc: 4.1998 4.1998 4.9666
angles: 90.00 90.00 90.00
Closest atoms and distances in Å follow each position.
Element x y z (fractional)
As (0.0000, 0.5000, 0.0000)  2 F 2.10
As (0.5000, 0.0000, 0.0000)  2 F 2.10
Pt (0.0000, 0.0000, 0.5000)  4 Se 2.97, 8 As 3.25
Se (0.5000, 0.5000, 0.5000)  2 F 2.48
F (0.5000, 0.5000, 0.0000)  4 As 2.10

## Properties
excess energy over the best structure of this formula in the dataset: 9.4 kJ/mol of formula units
final energy: -4.0848 eV per atom
E_form (uncorrected): 0.506 eV/atom